(1)
Material: Sm3Tm2Cd3
Method: DFT, PBE
State: relaxed

Properties
Its space-group type is No. 71. Its total magnetization is 0.4 μB per formula unit. Its energy above the most stable polymorph in this dataset is 0.0 meV/atom. The density of states at the Fermi level comes out at 11.3 states/eV/f.u.

```
16
Lattice="3.723 0.000 0.000 0.000 5.441 0.000 0.000 0.000 22.377" Properties=species:S:1:pos:R:3 pbc="T T T"
Sm 0.000 0.000 0.000
Sm 0.000 2.721 2.789
Sm 0.000 2.721 19.587
Sm 1.862 0.000 8.399
Sm 1.862 0.000 13.978
Sm 1.862 2.721 11.188
Tm 0.000 0.000 5.254
Tm 0.000 0.000 17.123
Tm 1.862 2.721 5.934
Tm 1.862 2.721 16.442
Cd 0.000 0.000 11.188
Cd 0.000 2.721 8.490
Cd 0.000 2.721 13.887
Cd 1.862 0.000 2.698
Cd 1.862 0.000 19.678
Cd 1.862 2.721 0.000
```

(2)
Material: Sm3Tm2Cd
Method: DFT, PBE
State: relaxed

Properties
Its space-group type is No. 65. Its total magnetization is 0.0 μB per formula unit. Its energy above the most stable polymorph in this dataset is 27.3 meV/atom. The density of states at the Fermi level comes out at 7.3 states/eV/f.u.

```
12
Lattice="4.947 0.000 0.000 0.000 15.090 0.000 0.000 0.000 4.847" Properties=species:S:1:pos:R:3 pbc="T T T"
Sm 0.000 0.000 0.000
Sm 0.000 4.982 0.000
Sm 0.000 10.108 0.000
Sm 2.474 2.563 0.000
Sm 2.474 7.545 0.000
Sm 2.474 12.528 0.000
Tm 0.000 2.482 2.423
Tm 0.000 12.609 2.423
Tm 2.474 5.064 2.423
Tm 2.474 10.027 2.423
Cd 0.000 7.545 2.423
Cd 2.474 0.000 2.423
```

(3)
Material: Sm8Tm2Cd
Method: DFT, PBE
State: relaxed

Properties
Its space-group type is No. 12. Its total magnetization is 0.0 μB per formula unit. Its energy above the most stable polymorph in this dataset is 0.0 meV/atom. The density of states at the Fermi level comes out at 15.6 states/eV/f.u.

```
11
Lattice="5.645 -2.524 0.000 5.645 2.524 0.000 -3.143 0.000 12.268" Properties=species:S:1:pos:R:3 pbc="T T T"
Sm -0.589 0.000 3.946
Sm -1.413 0.000 11.692
Sm 0.890 0.000 7.220
Sm 1.914 0.000 10.551
Sm 6.232 0.000 1.717
Sm 7.256 0.000 5.048
Sm 9.560 0.000 0.576
Sm 8.735 0.000 8.322
Tm 2.810 0.000 2.899
Tm 5.337 0.000 9.369
Cd 4.073 0.000 6.134
```

no.,ΔE_f (eV per atom)
1,-0.2316
2,-0.0548
3,-0.0113